[1]
# HfFe2Ir, relaxed, DFT PBE-GGA
# crystal system = cubic
# DOS(E_F) = 0.8958 states/eV/atom
# calculated formation energy = -254.4 meV/atom
data_HfFe2Ir
_space_group_name_H-M_alt 'F m -3 m'
_space_group_IT_number 225
_space_group_name_Hall '-F 4 2 3'
_cell_length_a 6.133
_cell_length_b 6.133
_cell_length_c 6.133
_cell_angle_alpha 90.00
_cell_angle_beta 90.00
_cell_angle_gamma 90.00
loop_
_atom_site_label
_atom_site_fract_x
_atom_site_fract_y
_atom_site_fract_z
Hf1 0.000 0.000 0.000
Fe1 0.250 0.250 0.250
Ir1 0.000 0.000 0.500

[2]
# GaAgBr2, relaxed, DFT PBE-GGA
# crystal system = tetragonal
# DOS(E_F) = 0.0000 states/eV/atom
# ΔE_f (raw) = -397 meV per atom
data_GaAgBr2
_space_group_name_H-M_alt 'I -4 2 d'
_space_group_IT_number 122
_space_group_name_Hall 'I -4 2bw'
_cell_length_a 6.715
_cell_length_b 6.715
_cell_length_c 12.957
_cell_angle_alpha 90.00
_cell_angle_beta 90.00
_cell_angle_gamma 90.00
loop_
_atom_site_label
_atom_site_fract_x
_atom_site_fract_y
_atom_site_fract_z
Ga1 0.000 0.000 0.000
Ag1 0.000 0.000 0.500
Br1 0.212 0.250 0.625